The following is a PBE calculation of La2TbRh9 after structural relaxation, from the Alexandria database.

Lattice parameters (Å, degrees): 5.3032 5.3032 9.4749 73.75 73.75 60.00
Fractional positions:
Rh  0.4202  0.4202  0.2410
Rh  0.5798  0.5798  0.7590
Rh  0.0813  0.5798  0.7590
Rh  0.9187  0.4202  0.2410
Rh  0.5000  0.5000  0.5000
Rh  0.6673  0.6673  0.9980
Rh  0.5798  0.0813  0.7590
Rh  0.3327  0.3327  0.0020
Rh  0.4202  0.9187  0.2410
La  0.1384  0.1384  0.5847
La  0.8616  0.8616  0.4153
Tb  0.0000  0.0000  0.0000

Computed properties:
Formation enthalpy at 0 K, eV/atom: -0.52
Crystal system: trigonal
Space-group type: R-3m

---

The following is a PBE calculation of BiBPt3 after structural relaxation, from the Alexandria database.

Lattice parameters (Å, degrees): 5.4952 7.5664 8.2982 90.00 90.00 90.00
Fractional positions:
Bi  0.0000  0.5000  0.5000
Bi  0.5000  0.5000  0.0000
Bi  0.0000  0.0000  0.5000
Bi  0.5000  0.0000  0.0000
B  0.9948  0.2500  0.9618
B  0.0052  0.7500  0.0382
B  0.5052  0.7500  0.4618
B  0.4948  0.2500  0.5382
Pt  0.2682  0.2500  0.7663
Pt  0.7682  0.2500  0.7337
Pt  0.0103  0.9286  0.8453
Pt  0.0103  0.5714  0.8453
Pt  0.5103  0.9286  0.6547
Pt  0.9897  0.4286  0.1547
Pt  0.4897  0.0714  0.3453
Pt  0.4897  0.4286  0.3453
Pt  0.9897  0.0714  0.1547
Pt  0.2318  0.7500  0.2663
Pt  0.5103  0.5714  0.6547
Pt  0.7318  0.7500  0.2337

Computed properties:
Energy relative to the lowest polymorph listed for this composition, meV per atom: 191
Formation enthalpy at 0 K, eV/atom: -0.03
Crystal system: orthorhombic
Space-group type: Pnma

---

The following is a PBE calculation of Nb2AlOs after structural relaxation, from the Alexandria database.

Lattice parameters (Å, degrees): 3.9693 3.9693 8.1096 75.83 75.83 60.00
Fractional positions:
Nb  0.8801  0.8801  0.3598
Nb  0.1199  0.1199  0.6402
Al  0.0000  0.0000  0.0000
Os  0.5000  0.5000  0.5000

Computed properties:
Formation enthalpy at 0 K, eV/atom: 0.84
Crystal system: trigonal
Space-group type: R-3m

---

The following is a PBE calculation of Yb2US3O2 after structural relaxation, from the Alexandria database.

Lattice parameters (Å, degrees): 10.7984 10.7984 10.7984 159.75 159.75 28.80
Each line ends with the local moment (μB).
Fractional positions:
U  0.1934  0.1934  0.0000  -1.07
O  0.2429  0.7429  0.5000  0.05
O  0.7429  0.2429  0.5000  0.05
Yb  0.4966  0.4966  0.0000  0.38
Yb  0.8192  0.8192  0.0000  0.39
S  0.3664  0.3664  0.0000  0.05
S  0.6297  0.6297  0.0000  0.08
S  0.0088  0.0088  0.0000  0.05

Computed properties:
Crystal system: tetragonal
Space-group type: I4mm

---

The following is a PBE calculation of Sr2ZrIn after structural relaxation, from the Alexandria database.

Lattice parameters (Å, degrees): 9.1915 9.1915 7.2851 50.89 50.89 90.00
Each line ends with the local moment (μB).
Fractional positions:
Sr  0.6452  0.1250  0.2500  0.06
Sr  0.1048  0.6250  0.2500  0.06
Sr  0.8750  0.8952  0.7500  0.06
Sr  0.3750  0.3548  0.7500  0.06
Zr  0.2500  0.7500  0.5000  0.96
Zr  0.5000  0.5000  0.0000  0.98
In  0.7500  0.2500  0.5000  -0.02
In  0.0000  0.0000  0.0000  -0.02

Computed properties:
Formation enthalpy at 0 K, eV/atom: 0.48
Crystal system: tetragonal
Space-group type: I-42d

---

The following is a PBE calculation of Tb5Pr2Mg after structural relaxation, from the Alexandria database.

Lattice parameters (Å, degrees): 7.0756 7.0759 7.1386 119.71 119.71 90.00
Fractional positions:
Tb  0.7222  0.7222  0.4444
Tb  0.7221  0.7221  0.9443
Tb  0.7221  0.2222  0.9443
Tb  0.2222  0.2222  0.9443
Tb  0.2222  0.7221  0.9443
Mg  0.2219  0.2219  0.4439
Pr  0.7221  0.2221  0.4442
Pr  0.2221  0.7221  0.4442

Computed properties:
Formation enthalpy at 0 K, eV/atom: 0.01
Crystal system: tetragonal
Space-group type: I4/mmm

---

The following is a PBE calculation of VPAu after structural relaxation, from the Alexandria database.

Lattice parameters (Å, degrees): 3.9836 7.3793 7.0963 109.10 90.00 90.00
Fractional positions:
V  0.9998  0.3550  0.2847
V  0.5002  0.3550  0.7847
V  0.4998  0.6450  0.2153
V  0.0002  0.6450  0.7153
Au  0.5002  0.8850  0.6264
Au  0.4998  0.1150  0.3736
Au  0.0002  0.1150  0.8736
Au  0.9998  0.8850  0.1264
P  0.0001  0.3116  0.5998
P  0.9998  0.6884  0.4002
P  0.4998  0.3116  0.0998
P  0.5002  0.6884  0.9002

Computed properties:
Formation enthalpy at 0 K, eV/atom: -0.23
Crystal system: monoclinic
Space-group type: C2/m

---

The following is a PBE calculation of Zr8TlZn2 after structural relaxation, from the Alexandria database.

Lattice parameters (Å, degrees): 4.9712 7.6699 7.6699 116.59 100.43 100.43
Fractional positions:
Zr  0.6987  0.4085  0.4085
Zr  0.5000  0.7676  0.2324
Zr  0.0993  0.0804  0.3203
Zr  0.3013  0.5915  0.5915
Zr  0.5000  0.2324  0.7676
Zr  0.9007  0.6797  0.9196
Zr  0.9007  0.9196  0.6797
Zr  0.0993  0.3203  0.0804
Tl  0.5000  0.0000  0.0000
Zn  0.0000  0.6909  0.3091
Zn  0.0000  0.3091  0.6909

Computed properties:
Formation enthalpy at 0 K, eV/atom: 0.03
Crystal system: monoclinic
Space-group type: C2/m

---

The following is a PBE calculation of BC3 after structural relaxation, from the Alexandria database.

Lattice parameters (Å, degrees): 4.5268 4.5372 4.5121 100.35 99.33 120.18
Fractional positions:
C  0.8348  0.1691  0.4999
C  0.6511  0.3151  0.0033
C  0.3469  0.6619  0.0040
C  0.5584  0.2158  0.6247
C  0.3723  0.3703  0.1174
C  0.7070  0.0397  0.1280
C  0.2017  0.5341  0.6300
C  0.8741  0.8928  0.6285
C  0.9962  0.0111  0.9959
B  0.1865  0.8548  0.5614
B  0.5024  0.5004  0.4974
B  0.0187  0.6850  0.0595

Computed properties:
Energy relative to the lowest polymorph listed for this composition, meV per atom: 81
Formation enthalpy at 0 K, eV/atom: 0.32
Crystal system: triclinic
Space-group type: P1

---

The following is a PBE calculation of PmYTePb after structural relaxation, from the Alexandria database.

Lattice parameters (Å, degrees): 4.4727 4.4727 7.7551 73.24 73.24 60.00
Fractional positions:
Pb  0.6961  0.6961  0.9117
Y  0.4415  0.4415  0.6756
Te  0.1918  0.1918  0.4245
Pm  0.9470  0.9470  0.1590

Computed properties:
Crystal system: trigonal
Space-group type: R3m

---

The following is a PBE calculation of GdErGaAu after structural relaxation, from the Alexandria database.

Lattice parameters (Å, degrees): 5.0991 5.0991 5.0991 60.00 60.00 60.00
Each line ends with the local moment (μB).
Fractional positions:
Au  0.7500  0.7500  0.7500  0.01
Er  0.0000  0.0000  0.0000  0.06
Gd  0.5000  0.5000  0.5000  7.06
Ga  0.2500  0.2500  0.2500  0.00

Computed properties:
Formation enthalpy at 0 K, eV/atom: -0.70
Crystal system: cubic
Space-group type: F-43m

---

The following is a PBE calculation of LaNd8Dy6 after structural relaxation, from the Alexandria database.

Lattice parameters (Å, degrees): 9.1701 9.1701 8.8046 58.62 58.62 60.00
Fractional positions:
La  0.0000  0.0000  0.0000
Nd  0.7519  0.1141  0.4183
Nd  0.4220  0.4220  0.7340
Nd  0.5780  0.5780  0.2660
Nd  0.8859  0.2843  0.5817
Nd  0.7157  0.7519  0.4183
Nd  0.2481  0.8859  0.5817
Nd  0.1141  0.7157  0.4183
Nd  0.2843  0.2481  0.5817
Dy  0.5345  0.2505  0.1195
Dy  0.4655  0.7495  0.8805
Dy  0.7495  0.9044  0.8805
Dy  0.2505  0.0956  0.1195
Dy  0.0956  0.5345  0.1195
Dy  0.9044  0.4655  0.8805

Computed properties:
Formation enthalpy at 0 K, eV/atom: 0.13
Crystal system: trigonal
Space-group type: R-3

---

DFT total energy values, unit eV for the cell shown, following the record order: -86.92, -115.27, -31.77, -55.03, -25.45, -34.21, -73.99, -72.97, -99.18, -22.02, -27.74, -68.80.